No. 1
DFT (GGA-PBE) results for a relaxed CsK2AgO crystal.

Uncorrected formation energy: -2.41 eV/f.u.

Lattice parameters (Å, degrees): 4.579 9.215 9.253 90.00 90.00 104.39
Fractional positions:
Cs  0.493  0.986  0.750
Cs  0.507  0.014  0.250
K  0.136  0.271  0.983
K  0.864  0.729  0.017
K  0.136  0.271  0.517
K  0.864  0.729  0.483
Ag  0.727  0.453  0.750
Ag  0.273  0.547  0.250
O  0.000  0.000  0.000
O  0.000  0.000  0.500


No. 2
DFT (GGA-PBE) results for a relaxed Cs2K4Ag2O crystal.

Uncorrected formation energy: -2.80 eV/f.u.

Lattice parameters (Å, degrees): 8.333 8.333 8.333 86.60 121.98 121.98
Fractional positions:
Cs  0.000  0.765  0.765
Cs  0.000  0.235  0.235
K  0.000  0.772  0.228
K  0.544  0.772  0.772
K  0.000  0.228  0.772
K  0.456  0.228  0.228
Ag  0.500  0.750  0.250
Ag  0.500  0.250  0.750
O  0.000  0.000  0.000


No. 3
DFT (GGA-PBE) results for a relaxed CsK8Ag2O crystal.

Uncorrected formation energy: -2.80 eV/f.u.

Lattice parameters (Å, degrees): 9.197 7.346 12.313 63.10 95.26 121.35
Fractional positions:
Cs  0.000  0.000  0.500
K  0.911  0.613  0.218
K  0.776  0.705  0.913
K  0.743  0.010  0.070
K  0.089  0.387  0.782
K  0.224  0.295  0.087
K  0.257  0.990  0.930
K  0.427  0.805  0.389
K  0.573  0.195  0.611
Ag  0.524  0.600  0.690
Ag  0.476  0.400  0.310
O  0.000  0.000  0.000


No. 4
DFT (GGA-PBE) results for a relaxed Cs2KAgP crystal.

Energy relative to the elements: 0.000 eV per atom

Lattice parameters (Å, degrees): 7.302 7.302 4.757 90.00 90.00 90.00
Fractional positions:
Cs  0.000  0.500  0.000
Cs  0.500  0.000  0.000
P  0.000  0.000  0.000
K  0.500  0.500  0.500
Ag  0.000  0.000  0.500


No. 5
DFT (GGA-PBE) results for a relaxed CsK2AgP crystal.

Energy relative to the elements: -0.035 eV per atom

Lattice parameters (Å, degrees): 6.479 6.479 4.953 90.00 90.00 90.00
Fractional positions:
Cs  0.500  0.500  0.500
P  0.000  0.000  0.000
K  0.000  0.500  0.000
K  0.500  0.000  0.000
Ag  0.000  0.000  0.500


No. 6
DFT (GGA-PBE) results for a relaxed CsK2AgPb crystal.

Energy relative to the elements: 0.058 eV per atom

Lattice parameters (Å, degrees): 6.886 6.886 5.566 90.00 90.00 90.00
Fractional positions:
Pb  0.000  0.000  0.000
Cs  0.500  0.500  0.500
K  0.000  0.500  0.000
K  0.500  0.000  0.000
Ag  0.000  0.000  0.500


No. 7
DFT (GGA-PBE) results for a relaxed CsK2AgPb crystal.

Energy relative to the elements: 0.013 eV per atom

Lattice parameters (Å, degrees): 6.596 6.596 5.554 90.00 90.00 90.00
Fractional positions:
Pb  0.000  0.000  0.500
Cs  0.500  0.500  0.500
K  0.000  0.500  0.000
K  0.500  0.000  0.000
Ag  0.000  0.000  0.000


No. 8
DFT (GGA-PBE) results for a relaxed CsKAgPd2 crystal.

Energy relative to the elements: 0.309 eV per atom

Lattice parameters (Å, degrees): 5.306 5.692 5.306 90.00 90.00 90.00
Fractional positions:
Cs  0.500  0.500  0.500
K  0.000  0.500  0.000
Pd  0.000  0.000  0.500
Pd  0.500  0.000  0.000
Ag  0.000  0.000  0.000


No. 9
DFT (GGA-PBE) results for a relaxed CsKAg2Pd crystal.

Energy relative to the elements: 0.119 eV per atom

Lattice parameters (Å, degrees): 5.440 5.440 5.690 90.00 90.00 90.00
Fractional positions:
Cs  0.500  0.500  0.500
K  0.000  0.000  0.500
Pd  0.000  0.000  0.000
Ag  0.000  0.500  0.000
Ag  0.500  0.000  0.000


No. 10
DFT (GGA-PBE) results for a relaxed CsKAg2Pd crystal.

Energy relative to the elements: 0.976 eV per atom

Lattice parameters (Å, degrees): 5.825 5.825 6.793 90.00 90.00 90.00
Fractional positions:
Cs  0.000  0.000  0.500
K  0.000  0.000  0.000
Pd  0.500  0.500  0.500
Ag  0.000  0.500  0.000
Ag  0.500  0.000  0.000


No. 11
DFT (GGA-PBE) results for a relaxed CsK2AgPt crystal.

Energy relative to the elements: 0.080 eV per atom

Lattice parameters (Å, degrees): 6.151 6.151 5.426 90.00 90.00 90.00
Fractional positions:
Cs  0.500  0.500  0.500
K  0.000  0.500  0.000
K  0.500  0.000  0.000
Ag  0.000  0.000  0.500
Pt  0.000  0.000  0.000


No. 12
DFT (GGA-PBE) results for a relaxed CsK2AgPt crystal.

Energy relative to the elements: 0.097 eV per atom

Lattice parameters (Å, degrees): 6.144 6.144 6.607 90.00 90.00 90.00
Fractional positions:
Cs  0.000  0.000  0.500
K  0.000  0.500  0.000
K  0.500  0.000  0.000
Ag  0.500  0.500  0.500
Pt  0.000  0.000  0.000


No. 13
DFT (GGA-PBE) results for a relaxed Cs2KRbAg crystal.

Energy relative to the elements: 0.042 eV per atom

Lattice parameters (Å, degrees): 7.460 7.460 6.970 90.00 90.00 90.00
Fractional positions:
Cs  0.000  0.500  0.000
Cs  0.500  0.000  0.000
K  0.000  0.000  0.500
Rb  0.500  0.500  0.500
Ag  0.000  0.000  0.000


No. 14
DFT (GGA-PBE) results for a relaxed Cs6KRb2Ag crystal.

Energy relative to the elements: 0.041 eV per atom

Lattice parameters (Å, degrees): 9.602 12.456 15.894 90.00 84.08 90.00
Fractional positions:
Cs  0.344  0.644  0.031
Cs  0.844  0.856  0.531
Cs  0.656  0.356  0.969
Cs  0.156  0.144  0.469
Cs  0.410  0.707  0.458
Cs  0.910  0.793  0.958
Cs  0.590  0.293  0.542
Cs  0.090  0.207  0.042
Cs  0.840  0.550  0.227
Cs  0.340  0.950  0.727
Cs  0.160  0.450  0.773
Cs  0.660  0.050  0.273
K  0.500  0.000  0.000
K  0.000  0.500  0.500
Rb  0.158  0.889  0.241
Rb  0.658  0.611  0.741
Rb  0.842  0.111  0.759
Rb  0.342  0.389  0.259
Ag  0.500  0.000  0.500
Ag  0.000  0.500  0.000


No. 15
DFT (GGA-PBE) results for a relaxed CsKRb2Ag crystal.

Energy relative to the elements: 0.052 eV per atom

Lattice parameters (Å, degrees): 7.202 7.202 6.969 90.00 90.00 90.00
Fractional positions:
Cs  0.500  0.500  0.500
K  0.000  0.000  0.500
Rb  0.000  0.500  0.000
Rb  0.500  0.000  0.000
Ag  0.000  0.000  0.000


No. 16
DFT (GGA-PBE) results for a relaxed Cs2KRbAg crystal.

Energy relative to the elements: 0.419 eV per atom

Lattice parameters (Å, degrees): 8.202 7.721 8.202 90.00 90.00 90.00
Fractional positions:
Cs  0.000  0.000  0.500
Cs  0.500  0.000  0.000
K  0.000  0.000  0.000
Rb  0.000  0.500  0.000
Ag  0.500  0.500  0.500


No. 17
DFT (GGA-PBE) results for a relaxed CsKRbAg2 crystal.

Energy relative to the elements: 0.465 eV per atom

Lattice parameters (Å, degrees): 6.714 7.065 6.714 90.00 90.00 90.00
Fractional positions:
Cs  0.000  0.000  0.000
K  0.500  0.500  0.500
Rb  0.000  0.500  0.000
Ag  0.000  0.000  0.500
Ag  0.500  0.000  0.000


No. 18
DFT (GGA-PBE) results for a relaxed CsKRbAg crystal.

Energy relative to the elements: 0.130 eV per atom

Lattice parameters (Å, degrees): 6.808 6.808 6.808 60.00 60.00 60.00
Fractional positions:
Cs  0.250  0.250  0.250
K  0.500  0.500  0.500
Rb  0.750  0.750  0.750
Ag  0.000  0.000  0.000


No. 19
DFT (GGA-PBE) results for a relaxed Cs2KRbAg crystal.

Energy relative to the elements: 0.048 eV per atom

Lattice parameters (Å, degrees): 7.418 7.418 7.206 90.00 90.00 90.00
Fractional positions:
Cs  0.000  0.500  0.000
Cs  0.500  0.000  0.000
K  0.500  0.500  0.500
Rb  0.000  0.000  0.500
Ag  0.000  0.000  0.000


No. 20
DFT (GGA-PBE) results for a relaxed CsKRb2Ag crystal.

Energy relative to the elements: 0.055 eV per atom

Lattice parameters (Å, degrees): 7.155 7.155 7.371 90.00 90.00 90.00
Fractional positions:
Cs  0.000  0.000  0.500
K  0.500  0.500  0.500
Rb  0.000  0.500  0.000
Rb  0.500  0.000  0.000
Ag  0.000  0.000  0.000